## HfHRh3 (GGA-PBE)

Data for a relaxed structure of HfHRh3.

Computed properties:
Total DFT energy (no corrections) ... -7.730 eV per atom
Fermi-level density of states ... 0.54 states/eV/atom
Distance to the lowest polymorph of the same formula ... 31 meV/atom

Unit cell a=5.6668 b=3.9553 c=5.6670 alpha=90.00 beta=91.50 gamma=90.00
With the nearest neighbours (Å) after each atom.
Space group Pm (No. 6)
Symmetry-distinct sites (fractional):
Hf  0.0000  0.0000  0.0000 [1 per cell]  1 H 2.13
Hf  0.4756  0.0000  0.5246 [1 per cell]  1 H 2.13
H  0.7255  0.0000  0.2500 [1 per cell]  4 Rh 1.88-2.05
H  0.9881  0.5000  0.5114 [1 per cell]  6 Rh 1.98-2.05
Rh  0.2393  0.5000  0.2595 [1 per cell]  1 H 2.04
Rh  0.2392  0.5000  0.7637 [1 per cell]  1 H 1.99
Rh  0.4879  0.0000  0.0125 [1 per cell]  1 H 1.88
Rh  0.7351  0.5000  0.2597 [1 per cell]  3 H 1.98-2.00
Rh  0.7349  0.5000  0.7638 [1 per cell]  1 H 2.05
Rh  0.9850  0.0000  0.5095 [1 per cell]  3 H 1.98-2.05